Entry 1:
Below is crystalline Al2InAs2 at its relaxed geometry, with properties calculated at the PBE-GGA level.

Lattice parameters (Å, degrees): 7.5718 7.5718 7.5718 148.86 148.86 44.61
Last column: nearest neighbours and their distance in Å.
Element x y z (fractional)
Al (0.2500, 0.7500, 0.5000)  4 As 2.58, 4 Al 2.87
Al (0.7500, 0.2500, 0.5000)  4 As 2.58, 4 Al 2.87
In (0.0000, 0.0000, 0.0000)  8 As 3.45
As (0.3639, 0.3639, 0.0000)  4 Al 2.58
As (0.6361, 0.6361, 0.0000)  4 Al 2.58

Results
ΔE to the lowest computed polymorph (eV/atom): 0.0000
Symmetry: I4/mmm
Magnetization (μB per formula unit): 0.00


Entry 2:
Below is crystalline La2YTh4 at its relaxed geometry, with properties calculated at the PBE-GGA level.

Lattice parameters (Å, degrees): 18.5362 18.5362 3.5907 90.00 90.00 168.90
Last column: nearest neighbours and their distance in Å.
Element x y z (fractional)
La (0.2039, 0.7961, 0.0000)  4 Th 3.56, 6 La 3.58-3.85
La (0.7961, 0.2039, 0.0000)  4 Th 3.56, 6 La 3.58-3.85
Y (0.5000, 0.5000, 0.5000)  4 Y 3.58-3.59, 8 Th 3.63
Th (0.0702, 0.9298, 0.0000)  8 Th 3.51-3.59, 4 Y 3.63
Th (0.3640, 0.6360, 0.5000)  8 Th 3.51-3.59, 4 La 3.56
Th (0.6360, 0.3640, 0.5000)  8 Th 3.51-3.59, 4 La 3.56
Th (0.9298, 0.0702, 0.0000)  8 Th 3.51-3.59, 4 Y 3.63

Results
Symmetry: Cmmm
Magnetization (μB per formula unit): 0.00


no.,DOS(E_F) (states/eV per cell),DFT formation energy (meV per atom),electronic total energy (eV per atom)
1,2.16,-110,-4.015
2,11.55,59,-6.512